Cu7Ni2Pt after structural relaxation, computed with PBE.

## Properties
**Calculated total energy**: -4.14 eV per atom

Unit cell a=6.5328 b=12.0473 c=3.9312 alpha=90.00 beta=90.00 gamma=90.00
Space group Cmmm (No. 65)
Inequivalent atoms, fractional coordinates:
Cu  0.0000  0.0000  0.0000 (multiplicity 2)
Cu  0.0000  0.2939  0.5000 (multiplicity 4)
Cu  0.1853  0.3921  0.0000 (multiplicity 8)
Ni  0.0000  0.2010  0.0000 (multiplicity 4)
Pt  0.0000  0.5000  0.5000 (multiplicity 2)


CuNi5Pt6 after structural relaxation, computed with PBE.

## Properties
**Calculated total energy**: -5.87 eV per atom

Unit cell a=3.8570 b=11.5511 c=7.2874 alpha=90.00 beta=90.00 gamma=90.00
Space group Cmmm (No. 65)
Inequivalent atoms, fractional coordinates:
Cu  0.0000  0.0000  0.0000 (multiplicity 2)
Ni  0.0000  0.0000  0.5000 (multiplicity 2)
Ni  0.0000  0.3330  0.0000 (multiplicity 4)
Ni  0.0000  0.3328  0.5000 (multiplicity 4)
Pt  0.0000  0.1672  0.2504 (multiplicity 8)
Pt  0.0000  0.5000  0.2544 (multiplicity 4)


Cu4NiPt3 after structural relaxation, computed with PBE.

## Properties
**Distance to the lowest polymorph of the same formula**: 0.000 eV/atom
**Calculated total energy**: -5.15 eV per atom

Unit cell a=15.5600 b=3.6780 c=3.8445 alpha=90.00 beta=104.24 gamma=90.00
Space group C2/m (No. 12)
Inequivalent atoms, fractional coordinates:
Cu  0.1290  0.0000  0.1286 (multiplicity 4)
Cu  0.2491  0.5000  0.2489 (multiplicity 4)
Ni  0.0000  0.0000  0.5000 (multiplicity 2)
Pt  0.0000  0.5000  0.0000 (multiplicity 2)
Pt  0.1282  0.5000  0.6279 (multiplicity 4)


Cu2Ni3Pt7 after structural relaxation, computed with PBE.

## Properties
**Calculated total energy**: -5.75 eV per atom

Unit cell a=7.4412 b=5.4978 c=9.0385 alpha=90.00 beta=114.25 gamma=90.00
Space group C2/m (No. 12)
Inequivalent atoms, fractional coordinates:
Cu  0.1686  0.0000  0.3372 (multiplicity 4)
Ni  0.0000  0.0000  0.0000 (multiplicity 2)
Ni  0.1669  0.5000  0.3341 (multiplicity 4)
Pt  0.0000  0.2500  0.5000 (multiplicity 4)
Pt  0.0000  0.5000  0.0000 (multiplicity 2)
Pt  0.1643  0.2496  0.8284 (multiplicity 8)


Cu3NiPt2 after structural relaxation, computed with PBE.

## Properties
**Calculated total energy**: -5.12 eV per atom

Unit cell a=3.7529 b=3.7529 c=22.3556 alpha=90.00 beta=90.00 gamma=90.00
Space group I4_1/amd (No. 141, origin choice 2)
Inequivalent atoms, fractional coordinates:
Cu  0.0000  0.2500  0.0431 (multiplicity 8)
Cu  0.0000  0.2500  0.8750 (multiplicity 4)
Ni  0.0000  0.2500  0.3750 (multiplicity 4)
Pt  0.0000  0.2500  0.2050 (multiplicity 8)


Cu3Ni3Pt2 after structural relaxation, computed with PBE.

## Properties
**Calculated total energy**: -5.28 eV per atom

Unit cell a=3.6931 b=3.7022 c=7.3632 alpha=90.00 beta=90.00 gamma=90.00
Space group Pmmm (No. 47)
Inequivalent atoms, fractional coordinates:
Cu  0.0000  0.0000  0.0000 (multiplicity 1)
Cu  0.5000  0.0000  0.2510 (multiplicity 2)
Ni  0.0000  0.0000  0.5000 (multiplicity 1)
Ni  0.5000  0.5000  0.0000 (multiplicity 1)
Ni  0.5000  0.5000  0.5000 (multiplicity 1)
Pt  0.0000  0.5000  0.2524 (multiplicity 2)


Cu2NiPt after structural relaxation, computed with PBE.

## Properties
**Calculated total energy**: -5.04 eV per atom

Unit cell a=5.2439 b=7.2368 c=2.6997 alpha=90.00 beta=90.00 gamma=90.00
Space group Cmmm (No. 65)
Inequivalent atoms, fractional coordinates:
Cu  0.2500  0.2500  0.0000 (multiplicity 4)
Ni  0.0000  0.0000  0.5000 (multiplicity 2)
Pt  0.0000  0.5000  0.5000 (multiplicity 2)


CuNi2Pt after structural relaxation, computed with PBE.

## Properties
**Calculated total energy**: -5.11 eV per atom

Unit cell a=3.5408 b=3.5408 c=17.2634 alpha=90.00 beta=90.00 gamma=90.00
Space group I-42d (No. 122)
Inequivalent atoms, fractional coordinates:
Cu  0.0000  0.0000  0.0000 (multiplicity 4)
Ni  0.2472  0.2500  0.1250 (multiplicity 8)
Pt  0.0000  0.0000  0.5000 (multiplicity 4)


| no. | formation energy (eV per formula unit) |
| --- | --- |
| 1 | 4.87 |
| 2 | -1.24 |
| 3 | -0.90 |
| 4 | -1.13 |
| 5 | -0.57 |
| 6 | -0.52 |
| 7 | -0.14 |
| 8 | 1.24 |